[1]
First-principles (PBE-GGA) data for crystalline Mg4Ag2Sn at its relaxed geometry, as listed in Alexandria.

POSCAR file:
```
Mg4Ag2Sn
1.0
4.4964 0.0000 0.0000
2.2482 3.8940 0.0000
2.2482 1.2980 9.5232
Mg Sn Ag
4 1 2
direct
0.3017 0.3017 0.0949 Mg
0.6983 0.6983 0.9051 Mg
0.1149 0.1149 0.6553 Mg
0.8851 0.8851 0.3447 Mg
0.5000 0.5000 0.5000 Sn
0.5984 0.5984 0.2047 Ag
0.4016 0.4016 0.7953 Ag
```

Values from the calculation:
- formation energy from the elements (eV per atom) = -0.052
- energy above the lowest structure with this stoichiometry (eV per formula unit) = 0.43
- DOS(E_F) (states/eV/cell) = 3.1



[2]
First-principles (PBE-GGA) data for crystalline Mg2Ag7Sn2 at its relaxed geometry, as listed in Alexandria.

POSCAR file:
```
Mg2Ag7Sn2
1.0
5.1026 -0.4850 -0.6324
-1.3945 6.7010 0.7619
-1.3945 -1.0018 6.6693
Ag Sn Mg
7 2 2
direct
0.8408 0.0796 0.5894 Ag
0.8195 0.5902 0.5902 Ag
0.0000 0.0000 0.0000 Ag
0.1805 0.4098 0.4098 Ag
0.8408 0.5894 0.0796 Ag
0.1592 0.4106 0.9204 Ag
0.1592 0.9204 0.4106 Ag
0.5445 0.2531 0.2531 Sn
0.4555 0.7469 0.7469 Sn
0.5000 0.7731 0.2269 Mg
0.5000 0.2269 0.7731 Mg
```

Values from the calculation:
- formation energy from the elements (eV per atom) = -0.052
- DOS(E_F) (states/eV/cell) = 3.4



[3]
First-principles (PBE-GGA) data for crystalline Mg8AgSn2 at its relaxed geometry, as listed in Alexandria.

POSCAR file:
```
Mg8AgSn2
1.0
-4.4095 -1.4533 -1.1736
2.3302 -2.1186 -6.1313
2.6643 -5.1912 6.1882
Mg Sn Ag
8 2 1
direct
0.9780 0.2097 0.9559 Mg
0.0220 0.7903 0.0441 Mg
0.1813 0.2455 0.3626 Mg
0.3422 0.0720 0.6844 Mg
0.6578 0.9280 0.3156 Mg
0.8187 0.7545 0.6374 Mg
0.4054 0.5692 0.8108 Mg
0.5946 0.4308 0.1892 Mg
0.1836 0.6787 0.3671 Sn
0.8164 0.3213 0.6329 Sn
0.5000 0.0000 0.0000 Ag
```

Values from the calculation:
- formation energy from the elements (eV per atom) = -0.107
- DOS(E_F) (states/eV/cell) = 3.4



[4]
First-principles (PBE-GGA) data for crystalline Mg8Ag2Sn at its relaxed geometry, as listed in Alexandria.

POSCAR file:
```
Mg8Ag2Sn
1.0
-3.7001 -3.2243 -1.5013
5.7986 -2.3169 -4.3855
0.3534 -1.5818 7.4564
Sn Mg Ag
1 8 2
direct
0.5000 0.0000 0.0000 Sn
0.8916 0.9122 0.6733 Mg
0.5000 0.7716 0.2284 Mg
0.1084 0.3267 0.0878 Mg
0.6998 0.4007 0.4007 Mg
0.8916 0.6733 0.9122 Mg
0.3002 0.5993 0.5993 Mg
0.5000 0.2284 0.7716 Mg
0.1084 0.0878 0.3267 Mg
0.0000 0.6959 0.3041 Ag
0.0000 0.3041 0.6959 Ag
```

Values from the calculation:
- formation energy from the elements (eV per atom) = -0.079
- energy above the lowest structure with this stoichiometry (eV per formula unit) = 0.33
- DOS(E_F) (states/eV/cell) = 3.9



[5]
First-principles (PBE-GGA) data for crystalline MgAg8Sn2 at its relaxed geometry, as listed in Alexandria.

POSCAR file:
```
MgAg8Sn2
1.0
-0.2171 2.8876 3.0547
-4.7890 5.0321 -5.0974
-2.5112 -6.5821 3.1437
Ag Sn Mg
8 2 1
direct
0.3364 0.5875 0.6728 Ag
0.6636 0.9147 0.3272 Ag
0.0000 0.2353 0.0000 Ag
0.0000 0.7647 0.0000 Ag
0.8288 0.8288 0.6575 Ag
0.3364 0.0853 0.6728 Ag
0.6636 0.4125 0.3272 Ag
0.1712 0.1712 0.3425 Ag
0.8514 0.3514 0.7027 Sn
0.1486 0.6486 0.2973 Sn
0.5000 0.0000 0.0000 Mg
```

Values from the calculation:
- formation energy from the elements (eV per atom) = -0.019
- energy above the lowest structure with this stoichiometry (eV per formula unit) = 0.06
- DOS(E_F) (states/eV/cell) = 3.7



[6]
First-principles (PBE-GGA) data for crystalline Mg2Ag2Sn at its relaxed geometry, as listed in Alexandria.

POSCAR file:
```
Mg2Ag2Sn
1.0
-1.5043 2.6330 -7.5694
-8.0142 -0.5285 1.4088
-0.0138 2.9819 1.0400
Ag Mg Sn
4 4 2
direct
0.6575 0.8425 0.5000 Ag
0.3425 0.1575 0.5000 Ag
0.1575 0.6575 0.5000 Ag
0.8425 0.3425 0.5000 Ag
0.6368 0.1368 0.0000 Mg
0.1368 0.3632 0.0000 Mg
0.3632 0.8632 0.0000 Mg
0.8632 0.6368 0.0000 Mg
0.0000 0.0000 0.0000 Sn
0.5000 0.5000 0.0000 Sn
```

Values from the calculation:
- formation energy from the elements (eV per atom) = -0.073
- energy above the lowest structure with this stoichiometry (eV per formula unit) = 0.39
- DOS(E_F) (states/eV/cell) = 2.5



[7]
First-principles (PBE-GGA) data for crystalline Mg7Ag4Sn at its relaxed geometry, as listed in Alexandria.

POSCAR file:
```
Mg7Ag4Sn
1.0
5.1922 0.0000 0.0000
2.5961 7.3795 0.8691
2.5961 1.0775 6.8604
Mg Ag Sn
7 4 1
direct
0.2021 0.1238 0.4719 Mg
0.7422 0.2901 0.2255 Mg
0.2578 0.7099 0.7745 Mg
0.9254 0.4155 0.7337 Mg
0.5000 0.0000 0.0000 Mg
0.7979 0.8762 0.5281 Mg
0.0746 0.5845 0.2663 Mg
0.4506 0.7140 0.3849 Ag
0.6872 0.6431 0.9824 Ag
0.5494 0.2860 0.6151 Ag
0.3128 0.3569 0.0176 Ag
0.0000 0.0000 0.0000 Sn
```

Values from the calculation:
- formation energy from the elements (eV per atom) = -0.029
- DOS(E_F) (states/eV/cell) = 4.2



[8]
First-principles (PBE-GGA) data for crystalline Mg2Ag4Sn at its relaxed geometry, as listed in Alexandria.

POSCAR file:
```
Mg2Ag4Sn
1.0
7.0128 0.0415 -0.0033
0.0321 7.0128 0.0033
-3.5211 -3.5285 2.9058
Ag Mg Sn
4 2 1
direct
0.2964 0.2964 0.0001 Ag
0.2987 0.7014 0.0001 Ag
0.7037 0.7037 0.0001 Ag
0.7014 0.2987 0.0001 Ag
0.2500 0.7500 0.5001 Mg
0.7500 0.2500 0.5001 Mg
0.9998 0.9998 0.9995 Sn
```

Values from the calculation:
- formation energy from the elements (eV per atom) = -0.025
- energy above the lowest structure with this stoichiometry (eV per formula unit) = 0.42
- DOS(E_F) (states/eV/cell) = 3.0



[9]
First-principles (PBE-GGA) data for crystalline MgAgSn2 at its relaxed geometry, as listed in Alexandria.

POSCAR file:
```
MgAgSn2
1.0
-1.4177 2.6561 -2.1186
-3.0509 0.0150 2.0603
2.8162 4.8015 4.1351
Mg Ag Sn
1 1 2
direct
0.5000 0.5000 0.5000 Mg
0.5000 0.5000 0.0000 Ag
0.0000 0.0000 0.7614 Sn
0.0000 0.0000 0.2386 Sn
```

Values from the calculation:
- formation energy from the elements (eV per atom) = 0.001
- DOS(E_F) (states/eV/cell) = 1.7



[10]
First-principles (PBE-GGA) data for crystalline Mg5Ag12Sn2 at its relaxed geometry, as listed in Alexandria.

POSCAR file:
```
Mg5Ag12Sn2
1.0
5.8141 0.0000 0.0000
-2.9071 7.7985 0.0491
0.0000 -2.6972 8.8768
Ag Mg Sn
12 5 2
direct
0.0407 0.5933 0.8831 Ag
0.1058 0.6976 0.3870 Ag
0.8582 0.7164 0.6586 Ag
0.5919 0.6976 0.3870 Ag
0.8942 0.3024 0.6130 Ag
0.4081 0.3024 0.6130 Ag
0.1418 0.2836 0.3414 Ag
0.4808 0.9617 0.6388 Ag
0.4474 0.4067 0.1169 Ag
0.9593 0.4067 0.1169 Ag
0.5192 0.0383 0.3612 Ag
0.5526 0.5933 0.8831 Ag
0.3036 0.6073 0.6254 Mg
0.3661 0.7322 0.1351 Mg
0.6964 0.3927 0.3746 Mg
0.0000 0.0000 0.5000 Mg
0.6339 0.2678 0.8649 Mg
0.7527 0.0000 0.0000 Sn
0.2473 0.0000 0.0000 Sn
```

Values from the calculation:
- formation energy from the elements (eV per atom) = 0.021
- DOS(E_F) (states/eV/cell) = 6.4



[11]
First-principles (PBE-GGA) data for crystalline Mg8Ag2Sn at its relaxed geometry, as listed in Alexandria.

POSCAR file:
```
Mg8Ag2Sn
1.0
4.5490 0.0551 -1.3454
-0.9018 6.4271 -2.7939
0.0217 -0.2940 8.2947
Ag Mg Sn
2 8 1
direct
0.7993 0.6151 0.2313 Ag
0.4761 0.2952 0.5905 Ag
0.5125 0.7311 0.6628 Mg
0.7583 0.9709 0.1501 Mg
0.9294 0.4412 0.4950 Mg
0.3439 0.8575 0.3232 Mg
0.9722 0.0409 0.5820 Mg
0.1352 0.5187 0.9097 Mg
0.6361 0.2269 0.9106 Mg
0.3011 0.3659 0.2367 Mg
0.1359 0.9366 0.9079 Sn
```

Values from the calculation:
- formation energy from the elements (eV per atom) = -0.109
- energy above the lowest structure with this stoichiometry (eV per formula unit) = 0.00
- DOS(E_F) (states/eV/cell) = 4.0



[12]
First-principles (PBE-GGA) data for crystalline Mg6AgSn at its relaxed geometry, as listed in Alexandria.

POSCAR file:
```
Mg6AgSn
1.0
-4.0803 -1.3848 1.1435
-0.8020 -1.1347 -4.2360
3.1236 -7.9364 1.5346
Mg Sn Ag
6 1 1
direct
0.5000 0.5000 0.0000 Mg
0.0000 0.5000 0.7385 Mg
0.5000 0.5000 0.5000 Mg
0.5000 0.0000 0.7385 Mg
0.5000 0.0000 0.2615 Mg
0.0000 0.5000 0.2615 Mg
0.0000 0.0000 0.0000 Sn
0.0000 0.0000 0.5000 Ag
```

Values from the calculation:
- formation energy from the elements (eV per atom) = -0.114
- energy above the lowest structure with this stoichiometry (eV per formula unit) = 0.00
- DOS(E_F) (states/eV/cell) = 2.5



[13]
First-principles (PBE-GGA) data for crystalline MgAg12Sn3 at its relaxed geometry, as listed in Alexandria.

POSCAR file:
```
MgAg12Sn3
1.0
4.2854 0.0000 0.0000
0.0000 4.2854 0.0000
0.0000 0.0000 16.5827
Ag Sn Mg
12 3 1
direct
0.0000 0.5000 0.8806 Ag
0.5000 0.0000 0.6279 Ag
0.0000 0.5000 0.6279 Ag
0.5000 0.0000 0.1194 Ag
0.0000 0.5000 0.1194 Ag
0.0000 0.5000 0.3721 Ag
0.5000 0.5000 0.2458 Ag
0.5000 0.5000 0.5000 Ag
0.5000 0.0000 0.8806 Ag
0.5000 0.0000 0.3721 Ag
0.5000 0.5000 0.0000 Ag
0.5000 0.5000 0.7542 Ag
0.0000 0.0000 0.7541 Sn
0.0000 0.0000 0.5000 Sn
0.0000 0.0000 0.2459 Sn
0.0000 0.0000 0.0000 Mg
```

Values from the calculation:
- formation energy from the elements (eV per atom) = -0.028
- DOS(E_F) (states/eV/cell) = 4.9



[14]
First-principles (PBE-GGA) data for crystalline Mg4Ag15Sn at its relaxed geometry, as listed in Alexandria.

POSCAR file:
```
Mg4Ag15Sn
1.0
-2.4628 -3.1531 -1.1826
3.2130 -1.7611 -1.9953
5.0667 -10.4900 17.4172
Mg Ag Sn
4 15 1
direct
0.0000 0.0000 0.4013 Mg
0.0000 0.0000 0.2024 Mg
0.0000 0.0000 0.5987 Mg
0.0000 0.0000 0.7976 Mg
0.0000 0.5000 0.8959 Ag
0.5000 0.0000 0.3018 Ag
0.0000 0.5000 0.3018 Ag
0.5000 0.0000 0.6982 Ag
0.0000 0.5000 0.1041 Ag
0.5000 0.5000 0.2027 Ag
0.5000 0.5000 0.4010 Ag
0.0000 0.5000 0.6982 Ag
0.5000 0.0000 0.1041 Ag
0.0000 0.5000 0.5000 Ag
0.5000 0.0000 0.8959 Ag
0.5000 0.5000 0.5990 Ag
0.5000 0.5000 0.7973 Ag
0.5000 0.5000 0.0000 Ag
0.5000 0.0000 0.5000 Ag
0.0000 0.0000 0.0000 Sn
```

Values from the calculation:
- formation energy from the elements (eV per atom) = -0.118
- DOS(E_F) (states/eV/cell) = 5.1



[15]
First-principles (PBE-GGA) data for crystalline Mg3Ag3Sn at its relaxed geometry, as listed in Alexandria.

POSCAR file:
```
Mg3Ag3Sn
1.0
-4.8852 3.6647 2.4765
-3.5193 -5.5144 0.7965
2.5324 -0.7391 6.0973
Ag Mg Sn
6 6 2
direct
0.2630 0.7370 0.5000 Ag
0.7168 0.7168 0.4986 Ag
0.2832 0.2832 0.5014 Ag
0.2517 0.7483 0.0000 Ag
0.7483 0.2517 0.0000 Ag
0.7370 0.2630 0.5000 Ag
0.9992 0.5004 0.7365 Mg
0.0001 0.0001 0.2605 Mg
0.5004 0.9992 0.7365 Mg
0.4996 0.0008 0.2635 Mg
0.0008 0.4996 0.2635 Mg
0.9999 0.9999 0.7395 Mg
0.7022 0.7022 0.0014 Sn
0.2978 0.2978 0.9986 Sn
```

Values from the calculation:
- formation energy from the elements (eV per atom) = -0.119
- energy above the lowest structure with this stoichiometry (eV per formula unit) = 0.22
- DOS(E_F) (states/eV/cell) = 3.3



[16]
First-principles (PBE-GGA) data for crystalline MgAg4Sn at its relaxed geometry, as listed in Alexandria.

POSCAR file:
```
MgAg4Sn
1.0
5.5560 0.0000 0.0000
2.7780 4.8116 0.0000
2.7780 1.6039 4.5364
Ag Mg Sn
4 1 1
direct
0.6247 0.1259 0.6247 Ag
0.6247 0.6247 0.1259 Ag
0.1259 0.6247 0.6247 Ag
0.6247 0.6247 0.6247 Ag
0.2500 0.2500 0.2500 Mg
0.0000 0.0000 0.0000 Sn
```

Values from the calculation:
- formation energy from the elements (eV per atom) = -0.041
- energy above the lowest structure with this stoichiometry (eV per formula unit) = 0.29
- DOS(E_F) (states/eV/cell) = 1.7



[17]
First-principles (PBE-GGA) data for crystalline MgAgSn3 at its relaxed geometry, as listed in Alexandria.

POSCAR file:
```
MgAgSn3
1.0
5.3827 0.0000 0.0000
0.0000 5.3827 0.0000
0.0000 0.0000 5.3827
Ag Sn Mg
1 3 1
direct
0.0000 0.0000 0.0000 Ag
0.0000 0.5000 0.0000 Sn
0.5000 0.0000 0.0000 Sn
0.0000 0.0000 0.5000 Sn
0.5000 0.5000 0.5000 Mg
```

Values from the calculation:
- formation energy from the elements (eV per atom) = 0.404
- energy above the lowest structure with this stoichiometry (eV per formula unit) = 0.00
- DOS(E_F) (states/eV/cell) = 3.6



[18]
First-principles (PBE-GGA) data for crystalline Mg6AgSn5 at its relaxed geometry, as listed in Alexandria.

POSCAR file:
```
Mg6AgSn5
1.0
-0.9087 5.1404 -0.1236
-3.8380 -0.5388 5.8106
5.7925 3.7764 4.1762
Sn Mg Ag
5 6 1
direct
0.6690 0.5000 0.6621 Sn
0.0000 0.5000 0.0000 Sn
0.3310 0.5000 0.3379 Sn
0.6645 0.0000 0.6711 Sn
0.3355 0.0000 0.3289 Sn
0.5000 0.2424 0.0000 Mg
0.8396 0.7617 0.3207 Mg
0.5000 0.7576 0.0000 Mg
0.1604 0.2383 0.6793 Mg
0.8396 0.2383 0.3207 Mg
0.1604 0.7617 0.6793 Mg
0.0000 0.0000 0.0000 Ag
```

Values from the calculation:
- formation energy from the elements (eV per atom) = -0.104
- DOS(E_F) (states/eV/cell) = 4.9



[19]
First-principles (PBE-GGA) data for crystalline Mg4Ag2Sn at its relaxed geometry, as listed in Alexandria.

POSCAR file:
```
Mg4Ag2Sn
1.0
5.3730 0.0000 0.0000
0.0000 5.3730 0.0000
2.6865 2.6865 6.8920
Ag Mg Sn
2 4 1
direct
0.3994 0.3994 0.2013 Ag
0.6006 0.6006 0.7987 Ag
0.5000 0.0000 0.0000 Mg
0.0000 0.5000 0.0000 Mg
0.7935 0.7935 0.4129 Mg
0.2065 0.2065 0.5871 Mg
0.0000 0.0000 0.0000 Sn
```

Values from the calculation:
- formation energy from the elements (eV per atom) = 0.227
- energy above the lowest structure with this stoichiometry (eV per formula unit) = 2.38
- DOS(E_F) (states/eV/cell) = 2.1



[20]
First-principles (PBE-GGA) data for crystalline Mg6Ag2Sn at its relaxed geometry, as listed in Alexandria.

POSCAR file:
```
Mg6Ag2Sn
1.0
-3.1652 -5.0096 5.4419
7.6822 -1.8036 -1.5684
0.2662 7.6280 2.5442
Sn Mg Ag
2 12 4
direct
0.0000 0.0000 0.0000 Sn
0.0000 0.5000 0.5000 Sn
0.4728 0.2871 0.1857 Mg
0.2903 0.9550 0.6647 Mg
0.1014 0.2871 0.8143 Mg
0.7948 0.7481 0.5429 Mg
0.8986 0.7129 0.1857 Mg
0.7948 0.2519 0.0467 Mg
0.2052 0.2519 0.4571 Mg
0.2052 0.7481 0.9533 Mg
0.7097 0.0450 0.3353 Mg
0.5272 0.7129 0.8143 Mg
0.2903 0.6257 0.3353 Mg
0.7097 0.3743 0.6647 Mg
0.3376 0.0000 0.3376 Ag
0.6624 0.0000 0.6624 Ag
0.5000 0.3609 0.8609 Ag
0.5000 0.6391 0.1391 Ag
```

Values from the calculation:
- formation energy from the elements (eV per atom) = -0.123
- DOS(E_F) (states/eV/cell) = 5.9



[21]
First-principles (PBE-GGA) data for crystalline Mg7Ag2Sn2 at its relaxed geometry, as listed in Alexandria.

POSCAR file:
```
Mg7Ag2Sn2
1.0
5.9444 -0.0004 -0.9944
0.0011 7.8534 0.0057
-1.3628 -0.0038 5.8708
Mg Sn Ag
7 2 2
direct
0.5000 0.2012 0.5000 Mg
0.0000 0.7111 0.5000 Mg
0.5000 0.7988 0.5000 Mg
0.5000 0.2889 0.0000 Mg
0.0000 0.0000 0.0000 Mg
0.5000 0.7111 0.0000 Mg
0.0000 0.2889 0.5000 Mg
0.2188 0.5000 0.2188 Sn
0.7812 0.5000 0.7812 Sn
0.7263 0.0000 0.2737 Ag
0.2737 0.0000 0.7263 Ag
```

Values from the calculation:
- formation energy from the elements (eV per atom) = -0.058
- DOS(E_F) (states/eV/cell) = 6.6



[22]
First-principles (PBE-GGA) data for crystalline MgAgSn2 at its relaxed geometry, as listed in Alexandria.

POSCAR file:
```
MgAgSn2
1.0
4.2678 0.0000 0.0000
0.0000 4.6369 0.0000
0.0000 0.0000 4.6369
Ag Sn Mg
1 2 1
direct
0.5000 0.5000 0.5000 Ag
0.0000 0.0000 0.5000 Sn
0.0000 0.5000 0.0000 Sn
0.5000 0.0000 0.0000 Mg
```

Values from the calculation:
- formation energy from the elements (eV per atom) = -0.045
- DOS(E_F) (states/eV/cell) = 1.3